i.
A relaxed structure of KZnAu4, computed with GGA-PBE.

Geometry as CIF:
```
data_KZnAu4
_chemical_formula_sum 'K1 Zn1 Au4'
_space_group_name_H-M_alt 'P 1'
_space_group_IT_number 1
_cell_length_a 5.6589
_cell_length_b 5.6589
_cell_length_c 5.6589
_cell_angle_alpha 60.00
_cell_angle_beta 60.00
_cell_angle_gamma 60.00
loop_
_space_group_symop_operation_xyz
'x,y,z'
loop_
_atom_site_label
_atom_site_fract_x
_atom_site_fract_y
_atom_site_fract_z
K1 0.0000 0.0000 0.0000
Zn1 0.7500 0.7500 0.7500
Au1 0.3754 0.3754 0.3754
Au2 0.3754 0.3754 0.8737
Au3 0.3754 0.8737 0.3754
Au4 0.8737 0.3754 0.3754
```

- Theoretical density: 11.6 g cm⁻³

***

ii.
A relaxed structure of KZnAu4, computed with GGA-PBE.

Geometry as CIF:
```
data_KZnAu4
_chemical_formula_sum 'K2 Zn2 Au8'
_space_group_name_H-M_alt 'P 1'
_space_group_IT_number 1
_cell_length_a 7.8560
_cell_length_b 7.8560
_cell_length_c 6.6683
_cell_angle_alpha 90.55
_cell_angle_beta 90.55
_cell_angle_gamma 41.85
loop_
_space_group_symop_operation_xyz
'x,y,z'
loop_
_atom_site_label
_atom_site_fract_x
_atom_site_fract_y
_atom_site_fract_z
K1 0.1969 0.1969 0.1287
K2 0.8031 0.8031 0.8713
Zn1 0.4455 0.4455 0.6816
Zn2 0.5545 0.5545 0.3184
Au1 0.1415 0.6518 0.3497
Au2 0.2459 0.7541 0.0000
Au3 0.2694 0.2694 0.6000
Au4 0.3482 0.8585 0.6503
Au5 0.6518 0.1415 0.3497
Au6 0.7306 0.7306 0.4000
Au7 0.7541 0.2459 0.0000
Au8 0.8585 0.3482 0.6503
```

- Theoretical density: 10.8 g cm⁻³

***

Stability summary: most stable ii, least stable i.